1) VASP calculation (PBE) on Li3Cl5 after structural relaxation.

Cell: 10.7855 10.7855 4.6637 Å, 90.00 90.00 120.00°
With the nearest neighbours (Å) after each atom.
Fractional positions:
Cl  0.7591  0.0000  0.7500  4 Li 2.35-2.45
Cl  0.7591  0.7591  0.2500  4 Li 2.35-2.45
Cl  0.6667  0.3333  0.0000  2 Cl 2.33
Cl  0.2409  0.2409  0.7500  4 Li 2.35-2.45
Cl  0.3333  0.6667  0.0000  2 Cl 2.33
Cl  0.0000  0.7591  0.7500  4 Li 2.35-2.45
Cl  0.2409  0.0000  0.2500  4 Li 2.35-2.45
Cl  0.0000  0.2409  0.2500  4 Li 2.35-2.45
Cl  0.3333  0.6667  0.5000  2 Cl 2.33
Cl  0.6667  0.3333  0.5000  2 Cl 2.33
Li  0.7887  0.0000  0.2500  4 Cl 2.35-2.45
Li  0.2113  0.0000  0.7500  4 Cl 2.35-2.45
Li  0.0000  0.7887  0.2500  4 Cl 2.35-2.45
Li  0.2113  0.2113  0.2500  4 Cl 2.35-2.45
Li  0.0000  0.2113  0.7500  4 Cl 2.35-2.45
Li  0.7887  0.7887  0.7500  4 Cl 2.35-2.45

Properties
The density of states at the Fermi level is 16.133 states/eV per cell. As for the crystal system: hexagonal. The spin magnetization is 0.00 μB/f.u.

---

2) VASP calculation (PBE) on Li3Cl5 after structural relaxation.

Cell: 5.0382 5.0382 8.1591 Å, 90.00 90.00 90.45°
With the nearest neighbours (Å) after each atom.
Fractional positions:
Li  0.2468  0.7532  0.5000  4 Cl 2.51-2.52
Li  0.5000  0.5000  0.0000  4 Cl 2.52
Li  0.7532  0.2468  0.5000  4 Cl 2.51-2.52
Cl  0.5000  0.0000  0.0000  2 Cl 2.52, 2 Li 2.52
Cl  0.0000  0.0000  0.0000  4 Cl 2.52
Cl  0.2523  0.2523  0.5000  4 Li 2.51-2.52
Cl  0.0000  0.5000  0.0000  2 Cl 2.52, 2 Li 2.52
Cl  0.7477  0.7477  0.5000  4 Li 2.51-2.52

Properties
The density of states at the Fermi level is 2.670 states/eV per cell. As for the crystal system: orthorhombic. The spin magnetization is 0.00 μB/f.u.

---

Pick the most stable structure from those above. Pick: 1)